(1)
CoTePb2: relaxed, PBEsol.

Results
Space group: No. 8
Energy, eV/cell: -18.75
Uncorrected formation energy, eV per atom: 0.13
Relative energy among the computed polymorphs, meV/atom: 0.0
D(E_F), states/eV/f.u.: 2.5

Geometry as POSCAR:
```
CoTePb2
1.0
-2.6692 0.5677 2.0633
1.3500 -0.7387 4.7860
1.4791 5.5912 3.2113
Co Pb Te
1 2 1
Direct
0.7949 0.5679 0.8423 Co
0.0598 0.9913 0.8892 Pb
0.2321 0.3138 0.2220 Pb
0.4132 0.6270 0.5466 Te
```

(2)
AgAs2SeI: relaxed, PBEsol.

Results
Space group: No. 123
Energy, eV/cell: -15.26
Uncorrected formation energy, eV per atom: 0.78
D(E_F), states/eV/f.u.: 5.8

Geometry as POSCAR:
```
AgAs2SeI
1.0
-2.7002 -2.5233 -3.2260
-2.2332 -2.4607 3.7939
-3.5696 3.5569 0.2057
I As Se Ag
1 2 1 1
Direct
0.5000 0.5000 0.5000 I
0.0000 0.0000 0.5000 As
0.0000 0.5000 0.0000 As
0.5000 0.0000 0.0000 Se
0.0000 0.0000 0.0000 Ag
```

What is the D(E_F) in the first record? 2.5 states/eV/f.u.

Please write out number 1 again, unchanged.
CoTePb2: relaxed, PBEsol.

Results
Space group: No. 8
Energy, eV/cell: -18.75
Uncorrected formation energy, eV per atom: 0.13
Relative energy among the computed polymorphs, meV/atom: 0.0
D(E_F), states/eV/f.u.: 2.5

Geometry as POSCAR:
```
CoTePb2
1.0
-2.6692 0.5677 2.0633
1.3500 -0.7387 4.7860
1.4791 5.5912 3.2113
Co Pb Te
1 2 1
Direct
0.7949 0.5679 0.8423 Co
0.0598 0.9913 0.8892 Pb
0.2321 0.3138 0.2220 Pb
0.4132 0.6270 0.5466 Te
```

Look up the uncorrected formation energy of the second one. 0.78 eV per atom

Repeat the first record exactly.
CoTePb2: relaxed, PBEsol.

Results
Space group: No. 8
Energy, eV/cell: -18.75
Uncorrected formation energy, eV per atom: 0.13
Relative energy among the computed polymorphs, meV/atom: 0.0
D(E_F), states/eV/f.u.: 2.5

Geometry as POSCAR:
```
CoTePb2
1.0
-2.6692 0.5677 2.0633
1.3500 -0.7387 4.7860
1.4791 5.5912 3.2113
Co Pb Te
1 2 1
Direct
0.7949 0.5679 0.8423 Co
0.0598 0.9913 0.8892 Pb
0.2321 0.3138 0.2220 Pb
0.4132 0.6270 0.5466 Te
```